Entry from Alexandria: an optimized crystal structure of LiNpGa4Pd2 (GGA-PBE).

Lattice parameters (Å, degrees): 4.329 4.329 8.831 75.81 75.81 60.00
Sites, in units of the cell vectors:
Ga: 0.873 0.873 0.380
Li: 0.500 0.500 0.500
Pd: 0.233 0.233 0.301
Pd: 0.767 0.767 0.699
Ga: 0.127 0.127 0.620
Ga: 0.397 0.397 0.810
Ga: 0.603 0.603 0.190
Np: 0.000 0.000 0.000

Computed properties:
**Volume**: 17.2 Å³/atom
**ΔH_f (0 K)**: -0.40 eV/atom
**E_tot**: -0.3727 Ry per atom